DFT (PBE-GGA) results for a geometry-optimized NaTb2PuS4 structure.

## Properties
formation energy from raw total energies	-1849	meV per atom
E_tot	-7.026	eV/atom

Cell lengths 6.8703, 3.9569, 6.9007 Å; angles 90.00, 109.46, 90.00 degrees
Closest atoms and distances in Å follow each position.
Space group P2/m (No. 10)
Inequivalent atoms, fractional coordinates:
Na 0.0000 0.0000 0.0000  6 S 2.83-2.84
Tb 0.0000 0.5000 0.5000  6 S 2.78-2.79
Tb 0.5000 0.0000 0.5000  6 S 2.77-2.79
Pu 0.5000 0.5000 0.0000  6 S 2.82-2.84
S 0.2502 0.0000 0.7462  3 Tb 2.79, 2 Pu 2.82, 1 Na 2.83
S 0.2542 0.5000 0.2592  3 Tb 2.77-2.78, 1 Pu 2.84, 2 Na 2.84

DFT (PBE-GGA) results for a geometry-optimized Sr4InPd3 structure.

## Properties
formation enthalpy at 0 K	-4.37	eV per formula unit
E_tot	-3.677	eV/atom

Cell lengths 4.3995, 4.6830, 11.6629 Å; angles 90.00, 90.00, 90.00 degrees
Closest atoms and distances in Å follow each position.
Space group Pmm2 (No. 25)
Inequivalent atoms, fractional coordinates:
Sr 0.0000 0.0000 0.0000  6 Pd 3.19-3.28
Sr 0.0000 0.5000 0.2587  7 Pd 3.21-3.52
Sr 0.5000 0.0000 0.4685  5 Pd 3.15-3.39, 2 In 3.36
Sr 0.5000 0.5000 0.7774  3 Pd 3.27-3.35, 4 In 3.38
In 0.0000 0.0000 0.6860  2 Pd 2.76
Pd 0.0000 0.5000 0.5603  2 In 2.76
Pd 0.5000 0.0000 0.1982  2 Pd 2.86, 3 Sr 3.15-3.19
Pd 0.5000 0.5000 0.0579  2 Pd 2.86

DFT (PBE-GGA) results for a geometry-optimized PmMnGaPt3 structure.

## Properties
formation enthalpy at 0 K	-3.20	eV per formula unit
E_tot	-6.378	eV/atom

Cell lengths 6.7415, 12.1554, 5.6453 Å; angles 90.00, 90.00, 90.00 degrees
Closest atoms and distances in Å follow each position.
Space group Cmcm (No. 63)
Inequivalent atoms, fractional coordinates:
Pm 0.0000 0.2004 0.2500  2 Ga 2.92, 1 Mn 2.95, 4 Pt 3.14
Mn 0.0000 0.4429 0.2500  5 Pt 2.53-2.63
Ga 0.0000 0.1381 0.7500  5 Pt 2.46-2.60
Pt 0.0000 0.3408 0.7500  1 Ga 2.46, 1 Mn 2.63
Pt 0.2067 0.0000 0.0000  2 Mn 2.53, 2 Ga 2.60, 3 Pt 2.79-2.82

Q: What is the formula in the second record?
A: Sr4InPd3

Q: Which value of E_tot does entry 3 give?
A: -6.378 eV/atom

What did the first record say?
DFT (PBE-GGA) results for a geometry-optimized NaTb2PuS4 structure.

## Properties
formation energy from raw total energies	-1849	meV per atom
E_tot	-7.026	eV/atom

Cell lengths 6.8703, 3.9569, 6.9007 Å; angles 90.00, 109.46, 90.00 degrees
Closest atoms and distances in Å follow each position.
Space group P2/m (No. 10)
Inequivalent atoms, fractional coordinates:
Na 0.0000 0.0000 0.0000  6 S 2.83-2.84
Tb 0.0000 0.5000 0.5000  6 S 2.78-2.79
Tb 0.5000 0.0000 0.5000  6 S 2.77-2.79
Pu 0.5000 0.5000 0.0000  6 S 2.82-2.84
S 0.2502 0.0000 0.7462  3 Tb 2.79, 2 Pu 2.82, 1 Na 2.83
S 0.2542 0.5000 0.2592  3 Tb 2.77-2.78, 1 Pu 2.84, 2 Na 2.84

Q: What is the formula in the third record?
A: PmMnGaPt3